No. 1
First-principles (PBEsol) data for a relaxed structure of SiTeP2, as listed in Alexandria via LeMat-Bulk.

## Properties
The volume is 18.064 Å³ per atom. Its space group is I4/mmm, No. 139. The energy relative to the lowest polymorph listed for this composition comes out at 225 kJ/mol of formula units.

POSCAR file:
```
SiTeP2
1.0
-0.717 3.246 1.923
-3.771 -0.689 -0.242
2.423 -3.744 3.387
Te P Si
1 2 1
Cartesian
0.000 0.000 0.000
-1.796 -1.577 1.993
-0.269 0.391 3.076
-2.244 1.279 0.841
```

***

No. 2
First-principles (PBEsol) data for a relaxed structure of SiTeP2, as listed in Alexandria via LeMat-Bulk.

## Properties
The volume is 17.317 Å³ per atom. Its space group is Fm-3m, No. 225. The energy relative to the lowest polymorph listed for this composition comes out at 187 kJ/mol of formula units.

POSCAR file:
```
SiTeP2
1.0
-2.612 -3.607 -1.191
1.524 -3.013 -3.138
1.218 -4.254 1.291
Si P Te
1 2 1
Cartesian
0.000 0.000 0.000
0.098 -8.156 -2.278
0.033 -2.719 -0.759
0.066 -5.437 -1.519
```